# 1
A relaxed structure of Si3OsS, computed with GGA-PBE.

abc: 4.3071 4.3071 4.3071
angles: 90.00 90.00 90.00
Sites, in units of the cell vectors:
Si (0.0000, 0.0000, 0.5000)
Si (0.0000, 0.5000, 0.0000)
Si (0.5000, 0.0000, 0.0000)
Os (0.5000, 0.5000, 0.5000)
S (0.0000, 0.0000, 0.0000)

Calculated values
D(E_F)	0.753	states/eV/atom
total DFT energy (no corrections)	-5.081	eV/atom

# 2
A relaxed structure of SiTeOsS2, computed with GGA-PBE.

abc: 4.3410 4.3410 5.4997
angles: 90.00 90.00 90.00
Sites, in units of the cell vectors:
Si (0.0000, 0.0000, 0.0000)
Te (0.0000, 0.0000, 0.5000)
Os (0.5000, 0.5000, 0.5000)
S (0.0000, 0.5000, 0.0000)
S (0.5000, 0.0000, 0.0000)

Calculated values
D(E_F)	0.791	states/eV/atom
total DFT energy (no corrections)	-4.470	eV/atom

# 3
A relaxed structure of Th6SiOs2S3, computed with GGA-PBE.

abc: 7.1714 7.1714 7.3179
angles: 99.38 99.38 119.94
Sites, in units of the cell vectors:
Th (0.0749, 0.4207, 0.7645)
Th (0.2310, 0.2310, 0.2338)
Th (0.4207, 0.0749, 0.7645)
Th (0.5793, 0.9251, 0.2355)
Th (0.7690, 0.7690, 0.7662)
Th (0.9251, 0.5793, 0.2355)
Si (0.5000, 0.5000, 0.0000)
Os (0.1679, 0.8321, 0.0000)
Os (0.8321, 0.1679, 0.0000)
S (0.0000, 0.0000, 0.5000)
S (0.3413, 0.6587, 0.5000)
S (0.6587, 0.3413, 0.5000)

Calculated values
D(E_F)	0.680	states/eV/atom
total DFT energy (no corrections)	-8.170	eV/atom

# 4
A relaxed structure of Th4SiOsS2, computed with GGA-PBE.

abc: 7.1843 4.1178 7.3226
angles: 90.00 109.19 90.00
Sites, in units of the cell vectors:
Th (0.2343, 0.0000, 0.2360)
Th (0.2446, 0.5000, 0.7558)
Th (0.7554, 0.5000, 0.2442)
Th (0.7657, 0.0000, 0.7640)
Si (0.0000, 0.0000, 0.5000)
Os (0.0000, 0.5000, 0.0000)
S (0.5000, 0.0000, 0.0000)
S (0.5000, 0.5000, 0.5000)

Calculated values
D(E_F)	0.806	states/eV/atom
total DFT energy (no corrections)	-7.956	eV/atom

# 5
A relaxed structure of VSiOs2S, computed with GGA-PBE.

abc: 4.6001 4.6001 4.2371
angles: 90.00 90.00 90.00
Sites, in units of the cell vectors:
V (0.0000, 0.0000, 0.0000)
Si (0.5000, 0.5000, 0.5000)
Os (0.0000, 0.5000, 0.0000)
Os (0.5000, 0.0000, 0.0000)
S (0.0000, 0.0000, 0.5000)

Calculated values
D(E_F)	1.269	states/eV/atom
total DFT energy (no corrections)	-6.780	eV/atom

# 6
A relaxed structure of SnOs3S, computed with GGA-PBE.

abc: 4.9188 4.9188 4.9188
angles: 90.00 90.00 90.00
Sites, in units of the cell vectors:
Sn (0.0000, 0.0000, 0.0000)
Os (0.0000, 0.0000, 0.5000)
Os (0.0000, 0.5000, 0.0000)
Os (0.5000, 0.0000, 0.0000)
S (0.5000, 0.5000, 0.5000)

Calculated values
D(E_F)	1.189	states/eV/atom
total DFT energy (no corrections)	-5.341	eV/atom

# 7
A relaxed structure of SnOs3S, computed with GGA-PBE.

abc: 4.4162 4.4162 4.4162
angles: 90.00 90.00 90.00
Sites, in units of the cell vectors:
Sn (0.0000, 0.0000, 0.0000)
Os (0.0000, 0.5000, 0.5000)
Os (0.5000, 0.0000, 0.5000)
Os (0.5000, 0.5000, 0.0000)
S (0.5000, 0.5000, 0.5000)

Calculated values
D(E_F)	0.985	states/eV/atom
total DFT energy (no corrections)	-7.240	eV/atom

# 8
A relaxed structure of Sn3OsS, computed with GGA-PBE.

abc: 5.0785 5.0785 5.0785
angles: 90.00 90.00 90.00
Sites, in units of the cell vectors:
Sn (0.0000, 0.0000, 0.5000)
Sn (0.0000, 0.5000, 0.0000)
Sn (0.5000, 0.0000, 0.0000)
Os (0.5000, 0.5000, 0.5000)
S (0.0000, 0.0000, 0.0000)

Calculated values
D(E_F)	1.086	states/eV/atom
total DFT energy (no corrections)	-4.237	eV/atom

# 9
A relaxed structure of Sn3OsS, computed with GGA-PBE.

abc: 5.1002 5.1002 5.1002
angles: 90.00 90.00 90.00
Sites, in units of the cell vectors:
Sn (0.0000, 0.0000, 0.5000)
Sn (0.0000, 0.5000, 0.0000)
Sn (0.5000, 0.0000, 0.0000)
Os (0.0000, 0.0000, 0.0000)
S (0.5000, 0.5000, 0.5000)

Calculated values
D(E_F)	0.000	states/eV/atom
total DFT energy (no corrections)	-5.393	eV/atom

# 10
A relaxed structure of SrOsS2, computed with GGA-PBE.

abc: 4.6783 4.6783 4.6783
angles: 60.00 60.00 60.00
Sites, in units of the cell vectors:
Sr (0.0000, 0.0000, 0.0000)
Os (0.5000, 0.5000, 0.5000)
S (0.2500, 0.2500, 0.2500)
S (0.7500, 0.7500, 0.7500)

Calculated values
D(E_F)	0.827	states/eV/atom
total DFT energy (no corrections)	-5.311	eV/atom

# 11
A relaxed structure of Sr2OsS, computed with GGA-PBE.

abc: 6.8236 6.8236 6.8236
angles: 108.94 108.94 110.55
Sites, in units of the cell vectors:
Sr (0.1052, 0.6250, 0.9802)
Sr (0.3750, 0.3552, 0.4802)
Sr (0.6448, 0.1250, 0.0198)
Sr (0.8750, 0.8948, 0.5198)
Os (0.2500, 0.7500, 0.5000)
Os (0.5000, 0.5000, 0.0000)
S (0.0000, 0.0000, 0.0000)
S (0.7500, 0.2500, 0.5000)

Calculated values
D(E_F)	0.810	states/eV/atom
total DFT energy (no corrections)	-4.517	eV/atom

# 12
A relaxed structure of SrOsS2, computed with GGA-PBE.

abc: 8.1046 8.1046 8.1046
angles: 27.12 27.12 27.12
Sites, in units of the cell vectors:
Sr (0.0000, 0.0000, 0.0000)
Os (0.5000, 0.5000, 0.5000)
S (0.1224, 0.1224, 0.1224)
S (0.8776, 0.8776, 0.8776)

Calculated values
D(E_F)	1.178	states/eV/atom
total DFT energy (no corrections)	-5.494	eV/atom

# 13
A relaxed structure of SrOs2S, computed with GGA-PBE.

abc: 8.6255 8.6255 8.6255
angles: 147.08 147.08 47.24
Sites, in units of the cell vectors:
Sr (0.0000, 0.0000, 0.0000)
Sr (0.7500, 0.2500, 0.5000)
Os (0.3461, 0.6250, 0.2211)
Os (0.3750, 0.5961, 0.7211)
Os (0.4039, 0.1250, 0.7789)
Os (0.8750, 0.6539, 0.2789)
S (0.2500, 0.7500, 0.5000)
S (0.5000, 0.5000, 0.0000)

Calculated values
D(E_F)	0.631	states/eV/atom
total DFT energy (no corrections)	-6.828	eV/atom

# 14
A relaxed structure of SrOsS3, computed with GGA-PBE.

abc: 5.4044 5.4044 5.4044
angles: 90.00 90.00 90.00
Sites, in units of the cell vectors:
Sr (0.0000, 0.0000, 0.0000)
Os (0.5000, 0.5000, 0.5000)
S (0.0000, 0.0000, 0.5000)
S (0.0000, 0.5000, 0.0000)
S (0.5000, 0.0000, 0.0000)

Calculated values
D(E_F)	0.933	states/eV/atom
total DFT energy (no corrections)	-3.484	eV/atom

# 15
A relaxed structure of SrOsS3, computed with GGA-PBE.

abc: 4.7397 4.7397 4.7397
angles: 90.00 90.00 90.00
Sites, in units of the cell vectors:
Sr (0.0000, 0.0000, 0.0000)
Os (0.5000, 0.5000, 0.5000)
S (0.0000, 0.5000, 0.5000)
S (0.5000, 0.0000, 0.5000)
S (0.5000, 0.5000, 0.0000)

Calculated values
D(E_F)	0.734	states/eV/atom
total DFT energy (no corrections)	-5.551	eV/atom

# 16
A relaxed structure of SrOsS2, computed with GGA-PBE.

abc: 7.2755 7.2755 7.2755
angles: 133.33 133.33 68.14
Sites, in units of the cell vectors:
Sr (0.0000, 0.0000, 0.0000)
Sr (0.7500, 0.2500, 0.5000)
Os (0.2500, 0.7500, 0.5000)
Os (0.5000, 0.5000, 0.0000)
S (0.2168, 0.6250, 0.0918)
S (0.3750, 0.4668, 0.5918)
S (0.5332, 0.1250, 0.9082)
S (0.8750, 0.7832, 0.4082)

Calculated values
D(E_F)	0.700	states/eV/atom
total DFT energy (no corrections)	-5.864	eV/atom

# 17
A relaxed structure of SrOsWS2, computed with GGA-PBE.

abc: 4.8811 4.8811 4.8506
angles: 90.00 90.00 90.00
Sites, in units of the cell vectors:
Sr (0.0000, 0.0000, 0.0000)
Os (0.5000, 0.5000, 0.5000)
W (0.5000, 0.5000, 0.0000)
S (0.0000, 0.5000, 0.5000)
S (0.5000, 0.0000, 0.5000)

Calculated values
D(E_F)	0.972	states/eV/atom
total DFT energy (no corrections)	-6.230	eV/atom

# 18
A relaxed structure of TaOsS3, computed with GGA-PBE.

abc: 4.7553 4.7553 4.7553
angles: 90.00 90.00 90.00
Sites, in units of the cell vectors:
Ta (0.0000, 0.0000, 0.0000)
Os (0.5000, 0.5000, 0.5000)
S (0.0000, 0.0000, 0.5000)
S (0.0000, 0.5000, 0.0000)
S (0.5000, 0.0000, 0.0000)

Calculated values
D(E_F)	0.805	states/eV/atom
total DFT energy (no corrections)	-6.216	eV/atom

# 19
A relaxed structure of Ta3OsS, computed with GGA-PBE.

abc: 4.4764 4.4764 4.4764
angles: 90.00 90.00 90.00
Sites, in units of the cell vectors:
Ta (0.0000, 0.0000, 0.5000)
Ta (0.0000, 0.5000, 0.0000)
Ta (0.5000, 0.0000, 0.0000)
Os (0.5000, 0.5000, 0.5000)
S (0.0000, 0.0000, 0.0000)

Calculated values
D(E_F)	1.043	states/eV/atom
total DFT energy (no corrections)	-9.684	eV/atom

# 20
A relaxed structure of TaOsS3, computed with GGA-PBE.

abc: 4.5363 4.5363 4.5363
angles: 90.00 90.00 90.00
Sites, in units of the cell vectors:
Ta (0.0000, 0.0000, 0.0000)
Os (0.5000, 0.5000, 0.5000)
S (0.0000, 0.5000, 0.5000)
S (0.5000, 0.0000, 0.5000)
S (0.5000, 0.5000, 0.0000)

Calculated values
D(E_F)	1.368	states/eV/atom
total DFT energy (no corrections)	-6.125	eV/atom

# 21
A relaxed structure of TaOs2S, computed with GGA-PBE.

abc: 6.7780 6.7780 6.7780
angles: 132.73 132.73 69.07
Sites, in units of the cell vectors:
Ta (0.0000, 0.0000, 0.0000)
Ta (0.7500, 0.2500, 0.5000)
Os (0.1726, 0.6250, 0.0476)
Os (0.3750, 0.4226, 0.5476)
Os (0.5774, 0.1250, 0.9524)
Os (0.8750, 0.8274, 0.4524)
S (0.2500, 0.7500, 0.5000)
S (0.5000, 0.5000, 0.0000)

Calculated values
D(E_F)	0.524	states/eV/atom
total DFT energy (no corrections)	-9.039	eV/atom

# 22
A relaxed structure of Ta3OsS, computed with GGA-PBE.

abc: 4.8615 4.8615 4.8615
angles: 90.00 90.00 90.00
Sites, in units of the cell vectors:
Ta (0.0000, 0.0000, 0.5000)
Ta (0.0000, 0.5000, 0.0000)
Ta (0.5000, 0.0000, 0.0000)
Os (0.0000, 0.0000, 0.0000)
S (0.5000, 0.5000, 0.5000)

Calculated values
D(E_F)	1.497	states/eV/atom
total DFT energy (no corrections)	-8.871	eV/atom

# 23
A relaxed structure of YTaOsS2, computed with GGA-PBE.

abc: 4.9109 4.9109 5.8891
angles: 90.00 90.00 90.00
Sites, in units of the cell vectors:
Y (0.0000, 0.0000, 0.0000)
Ta (0.0000, 0.0000, 0.5000)
Os (0.5000, 0.5000, 0.5000)
S (0.0000, 0.5000, 0.0000)
S (0.5000, 0.0000, 0.0000)

Calculated values
D(E_F)	0.977	states/eV/atom
total DFT energy (no corrections)	-5.826	eV/atom

# 24
A relaxed structure of TbOsS, computed with GGA-PBE.

abc: 11.0283 3.5641 3.5641
angles: 54.82 90.00 90.00
Sites, in units of the cell vectors:
Tb (0.1876, 0.0000, 0.0000)
Tb (0.8124, 0.0000, 0.0000)
Os (0.0000, 0.3177, 0.3177)
Os (0.5000, 0.0316, 0.0316)
S (0.3703, 0.3270, 0.3270)
S (0.6297, 0.3270, 0.3270)

Calculated values
D(E_F)	0.845	states/eV/atom
total DFT energy (no corrections)	-6.767	eV/atom

# 25
A relaxed structure of Tc2OsS, computed with GGA-PBE.

abc: 6.5399 6.5399 6.5399
angles: 130.65 130.65 72.37
Sites, in units of the cell vectors:
Tc (0.1076, 0.6250, 0.9826)
Tc (0.3750, 0.3576, 0.4826)
Tc (0.6424, 0.1250, 0.0174)
Tc (0.8750, 0.8924, 0.5174)
Os (0.2500, 0.7500, 0.5000)
Os (0.5000, 0.5000, 0.0000)
S (0.0000, 0.0000, 0.0000)
S (0.7500, 0.2500, 0.5000)

Calculated values
D(E_F)	0.535	states/eV/atom
total DFT energy (no corrections)	-8.514	eV/atom

# 26
A relaxed structure of TcOsS2, computed with GGA-PBE.

abc: 6.3905 6.3905 6.3905
angles: 131.85 131.85 70.46
Sites, in units of the cell vectors:
Tc (0.0000, 0.0000, 0.0000)
Tc (0.7500, 0.2500, 0.5000)
Os (0.2500, 0.7500, 0.5000)
Os (0.5000, 0.5000, 0.0000)
S (0.1268, 0.6250, 0.0018)
S (0.3750, 0.3768, 0.5018)
S (0.6232, 0.1250, 0.9982)
S (0.8750, 0.8732, 0.4982)

Calculated values
D(E_F)	0.347	states/eV/atom
total DFT energy (no corrections)	-7.424	eV/atom

# 27
A relaxed structure of TcOsS2, computed with GGA-PBE.

abc: 4.2226 4.2226 4.2226
angles: 60.00 60.00 60.00
Sites, in units of the cell vectors:
Tc (0.0000, 0.0000, 0.0000)
Os (0.5000, 0.5000, 0.5000)
S (0.2500, 0.2500, 0.2500)
S (0.7500, 0.7500, 0.7500)

Calculated values
D(E_F)	0.777	states/eV/atom
total DFT energy (no corrections)	-7.101	eV/atom

Volume in Å³ per cell, matching the order above: 79.9 103.6 308.4 204.6 89.7 119.0 86.1 131.0 132.7 72.4 244.5 97.6 188.8 157.9 106.5 200.2 115.6 107.5 89.7 93.4 164.9 114.9 142.0 114.5 157.4 141.9 53.2